# 1
Compound: CsDy2Au2O6
Source: Alexandria
Functional: PBE
Structure: relaxed

Properties
energy relative to the elements, uncorrected = -1.56 eV per atom
uncorrected energy = -0.2122 hartree per atom

The structure in CIF format:
```
data_CsDy2Au2O6
_chemical_formula_sum 'Cs1 Dy2 Au2 O6'
_cell_length_a 4.1005
_cell_length_b 6.8105
_cell_length_c 7.8818
_cell_angle_alpha 77.84
_cell_angle_beta 83.41
_cell_angle_gamma 72.85
_symmetry_space_group_name_H-M 'P -1'
_symmetry_Int_Tables_number 2
loop_
_symmetry_equiv_pos_as_xyz
'x,y,z'
'-x,-y,-z'
loop_
_atom_site_label
_atom_site_type_symbol
_atom_site_fract_x
_atom_site_fract_y
_atom_site_fract_z
_atom_site_occupancy
Cs1 Cs 0.0000 0.0000 0.0000 1
Dy1 Dy 0.1691 0.2322 0.5028 1
Au1 Au 0.2950 0.4913 0.8857 1
O1 O 0.0327 0.4703 0.6754 1
O2 O 0.2905 0.8810 0.4130 1
O3 O 0.4516 0.0305 0.2907 1
```

---

# 2
Compound: Pu3GaSi2Au6
Source: Alexandria
Functional: PBE
Structure: relaxed

Properties
energy relative to the elements, uncorrected = -0.03 eV per atom
uncorrected energy = -0.2355 hartree per atom

The structure in CIF format:
```
data_Pu3GaSi2Au6
_chemical_formula_sum 'Pu3 Ga1 Si2 Au6'
_cell_length_a 5.4819
_cell_length_b 5.4819
_cell_length_c 10.4749
_cell_angle_alpha 90.00
_cell_angle_beta 90.00
_cell_angle_gamma 120.00
_symmetry_space_group_name_H-M 'P -3 m 1'
_symmetry_Int_Tables_number 164
_symmetry_space_group_name_Hall '-P 3 2"'
loop_
_atom_site_label
_atom_site_type_symbol
_atom_site_fract_x
_atom_site_fract_y
_atom_site_fract_z
_atom_site_occupancy
Pu1 Pu 0.0000 0.0000 0.0000 1
Pu2 Pu 0.3333 0.6667 0.1058 1
Ga1 Ga 0.0000 0.0000 0.5000 1
Si1 Si 0.3333 0.6667 0.8381 1
Au1 Au 0.0010 0.5005 0.3601 1
```

---

# 3
Compound: AsPdSe4
Source: Alexandria
Functional: PBE
Structure: relaxed

Properties
energy relative to the elements, uncorrected = -0.13 eV per atom
uncorrected energy = -0.1505 hartree per atom

The structure in CIF format:
```
data_AsPdSe4
_chemical_formula_sum 'As1 Pd1 Se4'
_cell_length_a 6.3090
_cell_length_b 3.6725
_cell_length_c 6.4890
_cell_angle_alpha 90.00
_cell_angle_beta 109.09
_cell_angle_gamma 90.00
_symmetry_space_group_name_H-M 'P 1 2/m 1'
_symmetry_Int_Tables_number 10
loop_
_symmetry_equiv_pos_as_xyz
'x,y,z'
'-x,-y,-z'
'-x,y,-z'
'x,-y,z'
loop_
_atom_site_label
_atom_site_type_symbol
_atom_site_fract_x
_atom_site_fract_y
_atom_site_fract_z
_atom_site_occupancy
As1 As 0.0000 0.0000 0.0000 1
Pd1 Pd 0.5000 0.5000 0.0000 1
Se1 Se 0.2603 0.5000 0.2467 1
Se2 Se 0.2632 0.0000 0.7643 1
```

---

# 4
Compound: Na3ZnW
Source: Alexandria
Functional: PBE
Structure: relaxed

Properties
uncorrected energy = -0.0766 hartree per atom
offset from the most stable computed form = 112 meV per atom

The structure in CIF format:
```
data_Na3ZnW
_chemical_formula_sum 'Na3 Zn1 W1'
_cell_length_a 6.0501
_cell_length_b 6.0501
_cell_length_c 6.0501
_cell_angle_alpha 90.00
_cell_angle_beta 90.00
_cell_angle_gamma 90.00
_symmetry_space_group_name_H-M 'P m -3 m'
_symmetry_Int_Tables_number 221
_symmetry_space_group_name_Hall '-P 4 2 3'
loop_
_atom_site_label
_atom_site_type_symbol
_atom_site_fract_x
_atom_site_fract_y
_atom_site_fract_z
_atom_site_occupancy
Na1 Na 0.0000 0.0000 0.5000 1
Zn1 Zn 0.5000 0.5000 0.5000 1
W1 W 0.0000 0.0000 0.0000 1
```

---

# 5
Compound: LaTb2Er
Source: Alexandria
Functional: PBE
Structure: relaxed

Properties
uncorrected energy = -0.1711 hartree per atom
offset from the most stable computed form = 23 meV per atom

The structure in CIF format:
```
data_LaTb2Er
_chemical_formula_sum 'La1 Tb2 Er1'
_cell_length_a 5.0722
_cell_length_b 5.0722
_cell_length_c 5.1189
_cell_angle_alpha 90.00
_cell_angle_beta 90.00
_cell_angle_gamma 90.00
_symmetry_space_group_name_H-M 'P 4/m m m'
_symmetry_Int_Tables_number 123
_symmetry_space_group_name_Hall '-P 4 2'
loop_
_atom_site_label
_atom_site_type_symbol
_atom_site_fract_x
_atom_site_fract_y
_atom_site_fract_z
_atom_site_occupancy
La1 La 0.0000 0.0000 0.0000 1
Tb1 Tb 0.0000 0.5000 0.5000 1
Er1 Er 0.5000 0.5000 0.0000 1
```

---

# 6
Compound: Fe2OsSe
Source: Alexandria
Functional: PBE
Structure: relaxed

Properties
energy relative to the elements, uncorrected = 0.39 eV per atom
uncorrected energy = -0.2763 hartree per atom

The structure in CIF format:
```
data_Fe2OsSe
_chemical_formula_sum 'Fe4 Os2 Se2'
_cell_length_a 8.2907
_cell_length_b 2.9340
_cell_length_c 4.5519
_cell_angle_alpha 90.00
_cell_angle_beta 100.03
_cell_angle_gamma 90.00
_symmetry_space_group_name_H-M 'C 1 m 1'
_symmetry_Int_Tables_number 8
loop_
_symmetry_equiv_pos_as_xyz
'x,y,z'
'x,-y,z'
'x+1/2,y+1/2,z'
'x+1/2,-y+1/2,z'
loop_
_atom_site_label
_atom_site_type_symbol
_atom_site_fract_x
_atom_site_fract_y
_atom_site_fract_z
_atom_site_occupancy
Fe1 Fe 0.0000 0.0000 0.0000 1
Fe2 Fe 0.2433 0.5000 0.1824 1
Os1 Os 0.2577 0.0000 0.7082 1
Se1 Se 0.0064 0.5000 0.4602 1
```

---

# 7
Compound: LaZnTc2
Source: Alexandria
Functional: PBE
Structure: relaxed

Properties
uncorrected energy = -0.2470 hartree per atom

The structure in CIF format:
```
data_LaZnTc2
_chemical_formula_sum 'La1 Zn1 Tc2'
_cell_length_a 3.1175
_cell_length_b 3.1175
_cell_length_c 7.7090
_cell_angle_alpha 90.00
_cell_angle_beta 90.00
_cell_angle_gamma 90.00
_symmetry_space_group_name_H-M 'P 4 m m'
_symmetry_Int_Tables_number 99
loop_
_symmetry_equiv_pos_as_xyz
'x,y,z'
'-y,x,z'
'-x,-y,z'
'y,-x,z'
'-x,y,z'
'y,x,z'
'x,-y,z'
'-y,-x,z'
loop_
_atom_site_label
_atom_site_type_symbol
_atom_site_fract_x
_atom_site_fract_y
_atom_site_fract_z
_atom_site_occupancy
La1 La 0.0000 0.0000 0.0000 1
Zn1 Zn 0.5000 0.5000 0.6845 1
Tc1 Tc 0.0000 0.0000 0.4759 1
Tc2 Tc 0.5000 0.5000 0.3019 1
```

---

# 8
Compound: Ti3FeOs
Source: Alexandria
Functional: PBE
Structure: relaxed

Properties
uncorrected energy = -0.3016 hartree per atom
offset from the most stable computed form = 0 meV per atom

The structure in CIF format:
```
data_Ti3FeOs
_chemical_formula_sum 'Ti3 Fe1 Os1'
_cell_length_a 4.3592
_cell_length_b 4.3592
_cell_length_c 4.3592
_cell_angle_alpha 90.00
_cell_angle_beta 90.00
_cell_angle_gamma 90.00
_symmetry_space_group_name_H-M 'P m -3 m'
_symmetry_Int_Tables_number 221
_symmetry_space_group_name_Hall '-P 4 2 3'
loop_
_atom_site_label
_atom_site_type_symbol
_atom_site_fract_x
_atom_site_fract_y
_atom_site_fract_z
_atom_site_occupancy
Ti1 Ti 0.0000 0.0000 0.5000 1
Fe1 Fe 0.0000 0.0000 0.0000 1
Os1 Os 0.5000 0.5000 0.5000 1
```

---

# 9
Compound: Cr2AsRu
Source: Alexandria
Functional: PBE
Structure: relaxed

Properties
uncorrected energy = -0.3042 hartree per atom

The structure in CIF format:
```
data_Cr2AsRu
_chemical_formula_sum 'Cr8 As4 Ru4'
_cell_length_a 5.9566
_cell_length_b 5.9566
_cell_length_c 5.9566
_cell_angle_alpha 90.00
_cell_angle_beta 90.00
_cell_angle_gamma 90.00
_symmetry_space_group_name_H-M 'F -4 3 m'
_symmetry_Int_Tables_number 216
_symmetry_space_group_name_Hall 'F -4 2 3'
loop_
_atom_site_label
_atom_site_type_symbol
_atom_site_fract_x
_atom_site_fract_y
_atom_site_fract_z
_atom_site_occupancy
Cr1 Cr 0.0000 0.0000 0.0000 1
Cr2 Cr 0.2500 0.2500 0.2500 1
As1 As 0.0000 0.0000 0.5000 1
Ru1 Ru 0.2500 0.2500 0.7500 1
```

---

# 10
Compound: Ti3AlPd
Source: Alexandria
Functional: PBE
Structure: relaxed

Properties
uncorrected energy = -0.2104 hartree per atom
offset from the most stable computed form = 1105 meV per atom

The structure in CIF format:
```
data_Ti3AlPd
_chemical_formula_sum 'Ti3 Al1 Pd1'
_cell_length_a 4.6457
_cell_length_b 4.6457
_cell_length_c 4.6457
_cell_angle_alpha 90.00
_cell_angle_beta 90.00
_cell_angle_gamma 90.00
_symmetry_space_group_name_H-M 'P m -3 m'
_symmetry_Int_Tables_number 221
_symmetry_space_group_name_Hall '-P 4 2 3'
loop_
_atom_site_label
_atom_site_type_symbol
_atom_site_fract_x
_atom_site_fract_y
_atom_site_fract_z
_atom_site_occupancy
Ti1 Ti 0.0000 0.0000 0.5000 1
Al1 Al 0.0000 0.0000 0.0000 1
Pd1 Pd 0.5000 0.5000 0.5000 1
```